# LiMn2Si PBE-GGA optimized geometry
data_LiMn2Si
_chemical_formula_sum 'Li2 Mn4 Si2'
_cell_length_a 2.910
_cell_length_b 3.923
_cell_length_c 7.939
_cell_angle_alpha 90.00
_cell_angle_beta 90.00
_cell_angle_gamma 90.00
_space_group_name_H-M_alt 'I m m 2'
_space_group_IT_number 44
loop_
_space_group_symop_operation_xyz
'x,y,z'
'-x,-y,z'
'-x,y,z'
'x,-y,z'
'x+1/2,y+1/2,z+1/2'
'-x+1/2,-y+1/2,z+1/2'
'-x+1/2,y+1/2,z+1/2'
'x+1/2,-y+1/2,z+1/2'
loop_
_atom_site_label
_atom_site_type_symbol
_atom_site_fract_x
_atom_site_fract_y
_atom_site_fract_z
Li1 Li 0.000 0.000 0.000
Mn1 Mn 0.000 0.000 0.490
Mn2 Mn 0.000 0.500 0.757
Si1 Si 0.000 0.500 0.245
# Uncorrected energy ... -25.76 eV per formula unit
# Uncorrected formation energy ... -22 meV per atom
# Total moment ... 0.425 μB/atom